(1)
Material: NdErTl
Method: DFT, PBE
State: optimized geometry

Relative energy among the computed polymorphs (meV/atom): 226
Total energy (eV for the cell shown): -11.8
Crystal system: cubic
Calculated formation energy (eV/atom): -0.03

```
NdErTl
1.0
5.2524 0.0000 0.0000
2.6262 4.5487 0.0000
2.6262 1.5162 4.2885
Er Tl Nd
1 1 1
Direct
0.0000 0.0000 0.0000
0.2500 0.2500 0.2500
0.5000 0.5000 0.5000
```

---

(2)
Material: NdEr5Tl3
Method: DFT, PBE
State: optimized geometry

Total energy (eV for the cell shown): -73.9
Crystal system: hexagonal
Calculated formation energy (eV/atom): -0.25

```
NdEr5Tl3
1.0
6.7054 0.0000 0.0000
0.0000 9.3492 0.0000
0.0000 -4.6746 8.0951
Er Tl Nd
10 6 2
Direct
0.2500 0.3302 0.3302
0.5000 0.3333 0.6666
0.0000 0.3333 0.6666
0.7500 0.6698 0.6698
0.7500 0.9999 0.3302
0.5000 0.6667 0.3334
0.2500 0.0001 0.6698
0.7500 0.3302 0.0000
0.0000 0.6667 0.3334
0.2500 0.6698 0.0000
0.7500 0.3404 0.3404
0.2500 0.0001 0.3404
0.2500 0.3405 0.0000
0.7500 0.9999 0.6596
0.7500 0.6595 0.0000
0.2500 0.6596 0.6596
0.0000 0.0000 0.0000
0.5000 0.0000 0.0000
```

---

(3)
Material: Nd3Er4Tl2
Method: DFT, PBE
State: optimized geometry

Total energy (eV for the cell shown): -75.8
Crystal system: monoclinic
Calculated formation energy (eV/atom): -0.07

```
Nd3Er4Tl2
1.0
6.5451 0.1086 0.0777
0.4167 9.1810 -1.8210
0.4167 1.2343 9.2781
Nd Er Tl
6 8 4
Direct
0.9053 0.0443 0.1827
0.7500 0.4664 0.5336
0.0947 0.9557 0.8173
0.5947 0.8173 0.9557
0.4053 0.1827 0.0443
0.2500 0.5336 0.4664
0.5906 0.1081 0.6800
0.0906 0.6800 0.1081
0.4094 0.8919 0.3200
0.5902 0.5294 0.1751
0.9094 0.3200 0.8919
0.9098 0.8249 0.4706
0.0902 0.1751 0.5294
0.4098 0.4706 0.8249
0.5303 0.2181 0.3715
0.9697 0.6285 0.7819
0.0303 0.3715 0.2181
0.4697 0.7819 0.6285
```

---

(4)
Material: Nd3Er4Tl
Method: DFT, PBE
State: optimized geometry

Relative energy among the computed polymorphs (meV/atom): 0
Total energy (eV for the cell shown): -71.1
Crystal system: orthorhombic
Calculated formation energy (eV/atom): -0.08

```
Nd3Er4Tl
1.0
-2.4185 -5.6729 0.9206
1.5501 -1.7493 -6.7077
10.0977 -3.7667 3.3159
Tl Er Nd
2 8 6
Direct
0.6547 0.6428 0.5000
0.1547 0.3572 0.0000
0.6472 0.1273 0.0000
0.4871 0.8780 0.7408
0.1472 0.8727 0.5000
0.4871 0.8780 0.2592
0.6661 0.1157 0.5000
0.1661 0.8843 0.0000
0.9871 0.1220 0.7592
0.9871 0.1220 0.2408
0.6231 0.6290 0.0000
0.9750 0.6163 0.2358
0.4750 0.3837 0.2642
0.4750 0.3837 0.7358
0.1231 0.3710 0.5000
0.9750 0.6163 0.7642
```

---

(5)
Material: Nd2Er3Tl
Method: DFT, PBE
State: optimized geometry

Relative energy among the computed polymorphs (meV/atom): 0
Total energy (eV for the cell shown): -26.1
Crystal system: orthorhombic
Calculated formation energy (eV/atom): -0.09

```
Nd2Er3Tl
1.0
-3.9899 -2.1902 -1.8898
1.9876 0.2195 -4.4507
2.2256 -6.9252 3.3269
Er Nd Tl
3 2 1
Direct
0.5000 0.1656 0.3312
0.5000 0.8344 0.6688
0.5000 0.5000 0.0000
0.0000 0.6623 0.3245
0.0000 0.3377 0.6755
0.0000 0.0000 0.0000
```

---

(6)
Material: Nd8ErTl6
Method: DFT, PBE
State: optimized geometry

Total energy (eV for the cell shown): -59.4
Crystal system: trigonal
Calculated formation energy (eV/atom): -0.16

```
Nd8ErTl6
1.0
-2.0297 -4.2304 8.0589
6.8433 -3.4889 5.2876
2.1119 3.2428 7.6296
Er Nd Tl
1 8 6
Direct
0.0000 0.0000 0.0000
0.6652 0.6652 0.0043
0.3348 0.3348 0.9957
0.7756 0.1110 0.6652
0.2244 0.8890 0.3348
0.4482 0.7756 0.6652
0.5518 0.2244 0.3348
0.1110 0.4482 0.6652
0.8890 0.5518 0.3348
0.0577 0.7332 0.8253
0.2668 0.6162 0.1747
0.9423 0.2668 0.1747
0.7332 0.3838 0.8253
0.6162 0.9423 0.1747
0.3838 0.0577 0.8253
```

---

(7)
Material: NdEr6Tl4
Method: DFT, PBE
State: optimized geometry

Total energy (eV for the cell shown): -44.1
Crystal system: hexagonal
Calculated formation energy (eV/atom): -0.22

```
NdEr6Tl4
1.0
-1.3912 3.4443 -0.5431
-8.0438 -3.9517 -4.4567
-0.0142 1.5532 9.8878
Er Tl Nd
6 4 1
Direct
0.5000 0.1917 0.8083
0.5000 0.6166 0.8083
0.0000 0.5388 0.4612
0.0000 0.5388 0.0777
0.0000 0.9223 0.4612
0.5000 0.1917 0.3834
0.5000 0.3283 0.1641
0.0000 0.3333 0.6667
0.5000 0.8359 0.6717
0.5000 0.8359 0.1641
0.0000 0.0000 0.0000
```

---

(8)
Material: Nd2Er2Tl3
Method: DFT, PBE
State: optimized geometry

Relative energy among the computed polymorphs (meV/atom): 0
Total energy (eV for the cell shown): -27.5
Crystal system: monoclinic
Calculated formation energy (eV/atom): -0.24

```
Nd2Er2Tl3
1.0
-0.0060 -3.7505 0.5009
8.5874 0.1770 1.3908
-1.4321 -1.0708 6.2292
Er Tl Nd
2 3 2
Direct
0.4386 0.7142 0.1226
0.5614 0.2858 0.8774
0.0000 0.0000 0.0000
0.1466 0.5428 0.7069
0.8534 0.4572 0.2931
0.7080 0.8406 0.5846
0.2920 0.1594 0.4154
```

---

(9)
Material: NdErTl2
Method: DFT, PBE
State: optimized geometry

Relative energy among the computed polymorphs (meV/atom): 108
Total energy (eV for the cell shown): -15.1
Crystal system: trigonal
Calculated formation energy (eV/atom): -0.25

```
NdErTl2
1.0
3.7909 0.0000 0.0000
1.8954 3.2830 0.0000
1.8954 1.0943 9.7410
Tl Nd Er
2 1 1
Direct
0.7472 0.7472 0.7585
0.2528 0.2528 0.2415
0.5000 0.5000 0.5000
0.0000 0.0000 0.0000
```

---

(10)
Material: NdErTm2Tl2
Method: DFT, PBE
State: optimized geometry

Total energy (eV for the cell shown): -49.1
Crystal system: orthorhombic
Calculated formation energy (eV/atom): -0.26

```
NdErTm2Tl2
1.0
-1.4005 2.4751 4.2406
-6.1062 -2.9589 -0.2896
3.4031 -7.5653 5.5394
Tl Er Nd Tm
4 2 2 4
Direct
0.0000 0.2979 0.8684
0.0000 0.7979 0.1316
0.5000 0.7207 0.6406
0.5000 0.2207 0.3594
0.5000 0.6798 0.3063
0.5000 0.1798 0.6937
0.0000 0.4587 0.5415
0.0000 0.9587 0.4585
0.0000 0.3379 0.1814
0.5000 0.5506 0.9567
0.5000 0.0506 0.0433
0.0000 0.8379 0.8186
```

---

(11)
Material: NdEr2TmTl2
Method: DFT, PBE
State: optimized geometry

Total energy (eV for the cell shown): -49.3
Crystal system: orthorhombic
Calculated formation energy (eV/atom): -0.26

```
NdEr2TmTl2
1.0
5.1104 0.0000 0.0000
0.0000 6.8163 0.0000
0.0000 0.0000 9.9709
Er Tl Tm Nd
4 4 2 2
Direct
0.5000 0.5505 0.9555
0.0000 0.3385 0.1818
0.0000 0.8385 0.8182
0.5000 0.0505 0.0445
0.0000 0.2975 0.8671
0.5000 0.2221 0.3618
0.5000 0.7221 0.6382
0.0000 0.7975 0.1329
0.5000 0.1783 0.6937
0.5000 0.6783 0.3063
0.0000 0.9587 0.4574
0.0000 0.4587 0.5426
```

---

(12)
Material: Nd2ErTmTl2
Method: DFT, PBE
State: optimized geometry

Total energy (eV for the cell shown): -49.7
Crystal system: orthorhombic
Calculated formation energy (eV/atom): -0.26

```
Nd2ErTmTl2
1.0
-1.3578 -4.1057 2.7386
5.5174 -3.3552 -2.2946
5.4018 3.4817 7.8978
Nd Er Tm Tl
4 2 2 4
Direct
0.5000 0.5601 0.9571
0.5000 0.0601 0.0429
0.0000 0.3292 0.1892
0.0000 0.8292 0.8108
0.0000 0.4603 0.5404
0.0000 0.9603 0.4596
0.5000 0.1784 0.6838
0.5000 0.6784 0.3162
0.5000 0.2168 0.3775
0.0000 0.3009 0.8535
0.0000 0.8009 0.1465
0.5000 0.7168 0.6225
```

---

(13)
Material: NdErTmTl
Method: DFT, PBE
State: optimized geometry

Relative energy among the computed polymorphs (meV/atom): 131
Total energy (eV for the cell shown): -16.3
Crystal system: cubic
Calculated formation energy (eV/atom): -0.04

```
NdErTmTl
1.0
5.4921 0.0000 0.0000
2.7461 4.7563 0.0000
2.7461 1.5854 4.4843
Er Tm Nd Tl
1 1 1 1
Direct
0.2500 0.2500 0.2500
0.5000 0.5000 0.5000
0.7500 0.7500 0.7500
0.0000 0.0000 0.0000
```

---

(14)
Material: NdErTmTl
Method: DFT, PBE
State: optimized geometry

Relative energy among the computed polymorphs (meV/atom): 0
Total energy (eV for the cell shown): -16.9
Crystal system: orthorhombic
Calculated formation energy (eV/atom): -0.17

```
NdErTmTl
1.0
4.9038 0.0000 0.0000
0.0000 4.8186 0.0000
0.0000 0.0000 4.8925
Er Nd Tl Tm
1 1 1 1
Direct
0.0000 0.5000 0.5000
0.0000 0.0000 0.0000
0.5000 0.0000 0.5000
0.5000 0.5000 0.0000
```

---

(15)
Material: NdYEr2Tl2
Method: DFT, PBE
State: optimized geometry

Total energy (eV for the cell shown): -53.5
Crystal system: orthorhombic
Calculated formation energy (eV/atom): -0.27

```
NdYEr2Tl2
1.0
-3.7474 0.9347 3.3934
1.5390 -5.7396 3.2805
6.4838 5.0380 5.7726
Y Tl Er Nd
2 4 4 2
Direct
0.5000 0.6840 0.3084
0.5000 0.1840 0.6916
0.0000 0.7978 0.1318
0.5000 0.2200 0.3584
0.5000 0.7200 0.6416
0.0000 0.2978 0.8682
0.0000 0.3337 0.1813
0.5000 0.0496 0.0423
0.0000 0.8337 0.8187
0.5000 0.5496 0.9577
0.0000 0.9605 0.4598
0.0000 0.4605 0.5402
```

---

(16)
Material: NdY2ErTl2
Method: DFT, PBE
State: optimized geometry

Total energy (eV for the cell shown): -57.4
Crystal system: orthorhombic
Calculated formation energy (eV/atom): -0.29

```
NdY2ErTl2
1.0
-4.9249 0.5736 -1.2843
1.2421 -2.9815 -6.0944
-2.0819 -8.9842 3.9709
Y Er Tl Nd
4 2 4 2
Direct
0.5000 0.0528 0.0471
0.0000 0.8404 0.8165
0.0000 0.3404 0.1835
0.5000 0.5528 0.9529
0.5000 0.1763 0.6925
0.5000 0.6763 0.3075
0.0000 0.2966 0.8680
0.5000 0.7224 0.6344
0.0000 0.7966 0.1320
0.5000 0.2224 0.3656
0.0000 0.4571 0.5457
0.0000 0.9571 0.4543
```

---

(17)
Material: NdEr2Tl2Zn2
Method: DFT, PBE
State: optimized geometry

Total energy (eV for the cell shown): -22.3
Crystal system: trigonal
Calculated formation energy (eV/atom): -0.17

```
NdEr2Tl2Zn2
1.0
4.7950 0.0000 0.0000
2.3975 4.1526 0.0000
2.3975 1.3842 8.9654
Tl Nd Er Zn
2 1 2 2
Direct
0.7361 0.7361 0.7918
0.2639 0.2639 0.2082
0.0000 0.0000 0.0000
0.8681 0.8681 0.3957
0.1319 0.1319 0.6043
0.5712 0.5712 0.2863
0.4288 0.4288 0.7137
```

---

(18)
Material: Nd2ErTl2Zn2
Method: DFT, PBE
State: optimized geometry

Total energy (eV for the cell shown): -22.6
Crystal system: trigonal
Calculated formation energy (eV/atom): -0.17

```
Nd2ErTl2Zn2
1.0
-3.9231 1.7038 2.0706
-1.6333 -1.9888 3.9947
3.4443 5.8635 7.1538
Tl Zn Nd Er
2 2 2 1
Direct
0.2669 0.2669 0.1992
0.7331 0.7331 0.8008
0.3871 0.3871 0.8387
0.6129 0.6129 0.1613
0.8748 0.8748 0.3756
0.1252 0.1252 0.6244
0.0000 0.0000 0.0000
```

---

(19)
Material: Nd3Er2Tm
Method: DFT, PBE
State: optimized geometry

Relative energy among the computed polymorphs (meV/atom): 0
Total energy (eV for the cell shown): -55.7
Crystal system: monoclinic
Calculated formation energy (eV/atom): 0.01

```
Nd3Er2Tm
1.0
-6.6897 -2.4801 1.1508
-0.7193 -0.9203 -6.1649
6.7163 -6.5072 2.3265
Nd Er Tm
6 4 2
Direct
0.7070 0.4748 0.6651
0.1283 0.7500 0.0000
0.9581 0.9748 0.6651
0.8717 0.2500 0.0000
0.0419 0.0252 0.3349
0.2930 0.5252 0.3349
0.2110 0.4715 0.6686
0.4576 0.9715 0.6686
0.7890 0.5285 0.3314
0.5424 0.0285 0.3314
0.6214 0.7500 0.0000
0.3786 0.2500 0.0000
```

---

(20)
Material: NdErTm4
Method: DFT, PBE
State: optimized geometry

Relative energy among the computed polymorphs (meV/atom): 0
Total energy (eV for the cell shown): -27.1
Crystal system: monoclinic
Calculated formation energy (eV/atom): 0.03

```
NdErTm4
1.0
3.3249 -0.5850 1.0219
-3.4057 9.5036 -7.6611
2.7049 -6.5680 11.6118
Tm Nd Er
4 1 1
Direct
0.8301 0.6643 0.4997
0.1699 0.3356 0.5002
0.6585 0.3289 0.9998
0.3415 0.6712 0.0002
0.5001 0.0000 0.5000
0.9999 0.9999 0.9999
```

---

(21)
Material: Nd7Er4Tm
Method: DFT, PBE
State: optimized geometry

Relative energy among the computed polymorphs (meV/atom): 214
Total energy (eV for the cell shown): -53.5
Crystal system: monoclinic
Calculated formation energy (eV/atom): 0.22

```
Nd7Er4Tm
1.0
-0.7981 -2.4807 -5.3959
0.0012 -9.6903 1.1275
-7.5070 -4.2038 -0.2842
Er Nd Tm
4 7 1
Direct
0.3289 0.3848 0.9574
0.6711 0.6152 0.0426
0.5705 0.3023 0.5566
0.4295 0.6977 0.4434
0.7888 0.2356 0.1867
0.2102 0.1170 0.4627
0.5000 0.0000 0.0000
0.7898 0.8830 0.5373
0.9153 0.4461 0.7232
0.0847 0.5539 0.2768
0.2112 0.7644 0.8133
0.0000 0.0000 0.0000
```

---

(22)
Material: NdEr2Tm9
Method: DFT, PBE
State: optimized geometry

Relative energy among the computed polymorphs (meV/atom): 14
Total energy (eV for the cell shown): -53.6
Crystal system: hexagonal
Calculated formation energy (eV/atom): 0.04

```
NdEr2Tm9
1.0
3.4805 0.0000 0.0000
0.0000 11.0728 0.0000
0.0000 -5.5364 9.5894
Tm Nd Er
9 1 2
Direct
0.5000 0.1789 0.3578
0.5000 0.8211 0.1789
0.0000 0.5000 0.5000
0.5000 0.1789 0.8211
0.5000 0.6422 0.8211
0.0000 0.5000 0.0000
0.0000 0.0000 0.5000
0.5000 0.8211 0.6422
0.5000 0.3578 0.1789
0.0000 0.0000 0.0000
0.0000 0.3333 0.6667
0.0000 0.6667 0.3333
```